[1]
The following is a DFT calculation (meta-GGA SCAN) of a PBEsol-optimized structure of KAgRu2.

Unit cell a=2.7338 b=5.2889 c=5.9433 alpha=116.42 beta=103.30 gamma=90.00
Last column: nearest neighbours and their distance in Å.
Sites, in units of the cell vectors:
K 0.7426 0.2426 0.4853  2 K 2.73, 4 Ru 2.99
Ru 0.9603 0.9603 0.9207  2 Ru 2.40
Ru 0.2690 0.7690 0.5380  2 Ru 2.40
Ag 0.5280 0.5280 0.0561  2 Ag 2.73, 6 Ru 2.83-3.06

Values from the calculation:
* magnetic moment: 0.2 Bohr magnetons per cell
* DFT formation energy: 24.23 kcal/mol of atoms
* space-group type: Imm2

---

[2]
The following is a DFT calculation (meta-GGA SCAN) of a PBEsol-optimized structure of TaTeSeI2.

Unit cell a=5.5961 b=5.3505 c=5.3505 alpha=90.00 beta=90.00 gamma=90.00
Last column: nearest neighbours and their distance in Å.
Sites, in units of the cell vectors:
Te 0.5000 0.0000 0.0000  2 Se 2.80
Ta 0.5000 0.5000 0.5000  4 Te 3.78, 8 I 3.87
I 0.0000 0.5000 0.0000  2 Se 2.68
I 0.0000 0.0000 0.5000  2 Se 2.68
Se 0.0000 0.0000 0.0000  4 I 2.68, 2 Te 2.80

Values from the calculation:
* magnetic moment: 3.5 Bohr magnetons per cell
* E_form (uncorrected): 1336 meV/atom
* space-group type: P4/mmm

---

[3]
The following is a DFT calculation (meta-GGA SCAN) of a PBEsol-optimized structure of CaFeCu2.

Unit cell a=3.1893 b=4.3618 c=4.3618 alpha=90.00 beta=90.00 gamma=90.00
Last column: nearest neighbours and their distance in Å.
Sites, in units of the cell vectors:
Cu 0.0000 0.0000 0.5000  4 Ca 2.70, 4 Fe 2.70
Cu 0.0000 0.5000 0.0000  4 Fe 2.70, 4 Ca 2.70
Fe 0.5000 0.5000 0.5000  8 Cu 2.70
Ca 0.5000 0.0000 0.0000  8 Cu 2.70

Values from the calculation:
* magnetic moment: 2.7 Bohr magnetons per cell
* DFT formation energy: 8.26 kcal/mol of atoms
* space-group type: P4/mmm

---

[4]
The following is a DFT calculation (meta-GGA SCAN) of a PBEsol-optimized structure of LaReBr.

Unit cell a=4.7478 b=4.7478 c=4.7478 alpha=60.00 beta=60.00 gamma=60.00
Last column: nearest neighbours and their distance in Å.
Sites, in units of the cell vectors:
La 0.0000 0.0000 0.0000  4 Br 2.91
Br 0.7500 0.7500 0.7500  4 Re 2.91, 4 La 2.91
Re 0.5000 0.5000 0.5000  4 Br 2.91

Values from the calculation:
* magnetic moment: 2.8 Bohr magnetons per cell
* E_form (uncorrected): 813 meV/atom
* space-group type: F-43m

---

[5]
The following is a DFT calculation (meta-GGA SCAN) of a PBEsol-optimized structure of CaFe2Ir.

Unit cell a=3.9206 b=3.9206 c=3.9688 alpha=90.00 beta=90.00 gamma=90.00
Last column: nearest neighbours and their distance in Å.
Sites, in units of the cell vectors:
Fe 0.5000 0.0000 0.0000  4 Fe 2.77, 4 Ca 2.79, 4 Ir 2.79
Fe 0.0000 0.5000 0.0000  4 Fe 2.77, 4 Ca 2.79, 4 Ir 2.79
Ir 0.5000 0.5000 0.5000  4 Ca 2.77, 8 Fe 2.79
Ca 0.0000 0.0000 0.5000  4 Ir 2.77, 8 Fe 2.79

Values from the calculation:
* magnetic moment: 6.4 Bohr magnetons per cell
* DFT formation energy: 6.00 kcal/mol of atoms
* space-group type: P4/mmm

---

[6]
The following is a DFT calculation (meta-GGA SCAN) of a PBEsol-optimized structure of TaTe2RhI.

Unit cell a=5.2876 b=5.2876 c=5.3873 alpha=90.00 beta=90.00 gamma=90.00
Last column: nearest neighbours and their distance in Å.
Sites, in units of the cell vectors:
Te 0.5000 0.0000 0.0000  2 Ta 2.64
Te 0.0000 0.5000 0.0000  2 Ta 2.64
Ta 0.0000 0.0000 0.0000  4 Te 2.64, 2 I 2.69
Rh 0.5000 0.5000 0.5000  4 I 3.74, 8 Te 3.77
I 0.0000 0.0000 0.5000  2 Ta 2.69

Values from the calculation:
* magnetic moment: 2.0 Bohr magnetons per cell
* E_form (uncorrected): 937 meV/atom
* space-group type: P4/mmm

---

[7]
The following is a DFT calculation (meta-GGA SCAN) of a PBEsol-optimized structure of Sr2AlCo.

Unit cell a=3.7805 b=3.7805 c=9.4236 alpha=78.43 beta=78.43 gamma=60.00
Last column: nearest neighbours and their distance in Å.
Sites, in units of the cell vectors:
Sr 0.2620 0.2620 0.2140  3 Co 2.93
Sr 0.7380 0.7380 0.7860  3 Co 2.93
Al 0.5000 0.5000 0.5000  6 Sr 3.41, 6 Al 3.78
Co 0.0000 0.0000 0.0000  6 Sr 2.93

Values from the calculation:
* magnetic moment: 1.2 Bohr magnetons per cell
* DFT formation energy: 12.38 kcal/mol of atoms
* space-group type: R-3m

---

[8]
The following is a DFT calculation (meta-GGA SCAN) of a PBEsol-optimized structure of V4Pb3O3F19.

Unit cell a=8.9261 b=10.1648 c=10.1648 alpha=120.00 beta=90.00 gamma=90.00
Last column: nearest neighbours and their distance in Å.
Sites, in units of the cell vectors:
Pb 0.4572 0.5371 0.9232  7 F 2.40-2.65
Pb 0.4572 0.3862 0.4629  7 F 2.40-2.65
Pb 0.4572 0.0768 0.6138  7 F 2.40-2.65
Pb 0.9572 0.9232 0.5371  7 F 2.40-2.65
Pb 0.9572 0.6138 0.0768  7 F 2.40-2.65
Pb 0.9572 0.4629 0.3862  7 F 2.40-2.65
O 0.1995 0.8336 0.8447  1 V 1.56
O 0.6995 0.9890 0.1553  1 V 1.56
O 0.1995 0.0110 0.1664  1 V 1.56
O 0.6995 0.1664 0.0110  1 V 1.56
O 0.1995 0.1553 0.9890  1 V 1.56
O 0.6995 0.8447 0.8336  1 V 1.56
F 0.9177 0.3621 0.0873  1 V 1.86
F 0.6932 0.4019 0.9612  1 V 1.82
F 0.4177 0.2748 0.9127  1 V 1.86
F 0.9404 0.7419 0.9060  1 V 1.80
F 0.9177 0.7252 0.6379  1 V 1.86
F 0.9523 0.3570 0.8243  1 V 1.87
F 0.1916 0.1951 0.6875  1 V 1.83
F 0.4523 0.8243 0.3570  1 V 1.87
F 0.9523 0.4673 0.6430  1 V 1.87
F 0.7036 0.6005 0.8627  1 V 1.85
F 0.9404 0.0940 0.8359  1 V 1.80
F 0.2036 0.3995 0.2622  1 V 1.85
F 0.1916 0.4924 0.8049  1 V 1.83
F 0.7036 0.1373 0.7378  1 V 1.85
F 0.6916 0.8049 0.4924  1 V 1.83
F 0.6932 0.5593 0.5981  1 V 1.82
F 0.4177 0.6379 0.7252  1 V 1.86
F 0.9523 0.1757 0.5327  1 V 1.87
F 0.1932 0.9612 0.4019  1 V 1.82
F 0.2036 0.7378 0.1373  1 V 1.85
F 0.7036 0.2622 0.3995  1 V 1.85
F 0.6916 0.5076 0.3125  1 V 1.83
F 0.9844 0.6667 0.3333  3 Pb 2.40
F 0.9404 0.1641 0.2581  1 V 1.80
F 0.9177 0.9127 0.2748  1 V 1.86
F 0.1932 0.4407 0.0388  1 V 1.82
F 0.4844 0.3333 0.6667  3 Pb 2.40
F 0.1932 0.5981 0.5593  1 V 1.82
F 0.6916 0.6875 0.1951  1 V 1.83
F 0.4404 0.9060 0.7419  1 V 1.80
F 0.4523 0.6430 0.4673  1 V 1.87
F 0.6932 0.0388 0.4407  1 V 1.82
F 0.4404 0.2581 0.1641  1 V 1.80
F 0.4404 0.8359 0.0940  1 V 1.80
F 0.1916 0.3125 0.5076  1 V 1.83
F 0.4523 0.5327 0.1757  1 V 1.87
F 0.4177 0.0873 0.3621  1 V 1.86
F 0.2036 0.8627 0.6005  1 V 1.85
V 0.5773 0.6667 0.3333  6 F 1.83-1.87
V 0.2941 0.3045 0.0727  1 O 1.56
V 0.7941 0.0727 0.3045  1 O 1.56
V 0.7941 0.2318 0.9273  1 O 1.56
V 0.2941 0.7682 0.6955  1 O 1.56
V 0.2941 0.9273 0.2318  1 O 1.56
V 0.0773 0.3333 0.6667  6 F 1.83-1.87
V 0.7941 0.6955 0.7682  1 O 1.56

Values from the calculation:
* magnetic moment: 2.4 Bohr magnetons per cell
* E_form (uncorrected): -2775 meV/atom
* space-group type: P31c

---

[9]
The following is a DFT calculation (meta-GGA SCAN) of a PBEsol-optimized structure of RbTlCl2.

Unit cell a=5.3986 b=5.3986 c=5.3986 alpha=60.00 beta=60.00 gamma=60.00
Last column: nearest neighbours and their distance in Å.
Sites, in units of the cell vectors:
Rb 0.0000 0.0000 0.0000  8 Cl 3.31
Cl 0.7500 0.7500 0.7500  4 Tl 3.31, 4 Rb 3.31
Cl 0.2500 0.2500 0.2500  4 Tl 3.31, 4 Rb 3.31
Tl 0.5000 0.5000 0.5000  8 Cl 3.31

Values from the calculation:
* magnetic moment: 0.0 Bohr magnetons per cell
* E_form (uncorrected): -1611 meV/atom
* space-group type: Fm-3m

---

[10]
The following is a DFT calculation (meta-GGA SCAN) of a PBEsol-optimized structure of CrTcBr2.

Unit cell a=3.2353 b=4.4964 c=4.4964 alpha=90.00 beta=90.00 gamma=90.00
Last column: nearest neighbours and their distance in Å.
Sites, in units of the cell vectors:
Br 0.0000 0.0000 0.5000  4 Cr 2.77, 4 Tc 2.77
Br 0.0000 0.5000 0.0000  4 Cr 2.77, 4 Tc 2.77
Tc 0.5000 0.0000 0.0000  8 Br 2.77
Cr 0.5000 0.5000 0.5000  8 Br 2.77

Values from the calculation:
* magnetic moment: 3.1 Bohr magnetons per cell
* E_form (uncorrected): 731 meV/atom
* space-group type: P4/mmm

---

[11]
The following is a DFT calculation (meta-GGA SCAN) of a PBEsol-optimized structure of IrW2Br.

Unit cell a=2.8801 b=2.8801 c=7.9570 alpha=90.00 beta=90.00 gamma=90.00
Last column: nearest neighbours and their distance in Å.
Sites, in units of the cell vectors:
W 0.0000 0.0000 0.9928  4 Ir 2.62, 8 W 2.88-2.90
W 0.5000 0.5000 0.2519  4 Br 2.68, 8 W 2.88-2.90
Br 0.0000 0.0000 0.4706  4 W 2.68, 4 Br 2.88
Ir 0.5000 0.5000 0.7847  4 W 2.62, 4 Ir 2.88

Values from the calculation:
* magnetic moment: 0.0 Bohr magnetons per cell
* E_form (uncorrected): 602 meV/atom
* space-group type: P4mm

---

[12]
The following is a DFT calculation (meta-GGA SCAN) of a PBEsol-optimized structure of ZrReRh2.

Unit cell a=2.7980 b=2.7980 c=7.8737 alpha=90.00 beta=90.00 gamma=90.00
Last column: nearest neighbours and their distance in Å.
Sites, in units of the cell vectors:
Rh 0.5000 0.5000 0.2375  8 Rh 2.75-2.80, 4 Zr 2.81
Rh 0.0000 0.0000 0.9947  4 Re 2.62, 8 Rh 2.75-2.80
Re 0.5000 0.5000 0.7764  4 Rh 2.62, 4 Re 2.80
Zr 0.0000 0.0000 0.4914  4 Zr 2.80, 4 Rh 2.81, 4 Re 2.99

Values from the calculation:
* magnetic moment: 0.0 Bohr magnetons per cell
* DFT formation energy: -4.09 kcal/mol of atoms
* space-group type: P4mm

---

[13]
The following is a DFT calculation (meta-GGA SCAN) of a PBEsol-optimized structure of ZrSc2Ru.

Unit cell a=3.2608 b=4.7463 c=5.7474 alpha=114.39 beta=106.48 gamma=90.00
Last column: nearest neighbours and their distance in Å.
Sites, in units of the cell vectors:
Zr 0.5000 0.0000 0.0000  4 Ru 2.88, 4 Sc 3.17
Sc 0.2883 0.2883 0.5766  2 Ru 2.66, 4 Sc 2.98
Sc 0.7117 0.7117 0.4234  2 Ru 2.66, 4 Sc 2.98
Ru 0.0000 0.5000 0.0000  4 Sc 2.66, 4 Zr 2.88

Values from the calculation:
* magnetic moment: 0.0 Bohr magnetons per cell
* DFT formation energy: -9.38 kcal/mol of atoms
* space-group type: Immm

---

[14]
The following is a DFT calculation (meta-GGA SCAN) of a PBEsol-optimized structure of NaY2Tc.

Unit cell a=4.9946 b=4.9946 c=4.9946 alpha=60.00 beta=60.00 gamma=60.00
Last column: nearest neighbours and their distance in Å.
Sites, in units of the cell vectors:
Tc 0.5000 0.5000 0.5000  8 Y 3.06
Na 0.0000 0.0000 0.0000  8 Y 3.06
Y 0.2500 0.2500 0.2500  4 Na 3.06, 4 Tc 3.06
Y 0.7500 0.7500 0.7500  4 Na 3.06, 4 Tc 3.06

Values from the calculation:
* magnetic moment: 0.0 Bohr magnetons per cell
* DFT formation energy: 5.08 kcal/mol of atoms
* space-group type: Fm-3m

---

[15]
The following is a DFT calculation (meta-GGA SCAN) of a PBEsol-optimized structure of TeWSe2.

Unit cell a=3.0037 b=3.0037 c=10.1520 alpha=90.00 beta=90.00 gamma=114.00
Last column: nearest neighbours and their distance in Å.
Sites, in units of the cell vectors:
Te 0.0000 0.0000 0.4642  2 W 2.84, 4 Te 3.00
W 0.5000 0.5000 0.2350  2 Se 2.49
Se 0.0000 0.0000 0.0500  2 W 2.49
Se 0.5000 0.5000 0.7507  6 Se 3.00-3.27, 2 Te 3.34

Values from the calculation:
* magnetic moment: 0.0 Bohr magnetons per cell
* E_form (uncorrected): 570 meV/atom
* space-group type: Cmm2

---

[16]
The following is a DFT calculation (meta-GGA SCAN) of a PBEsol-optimized structure of AlCd2Se.

Unit cell a=3.7549 b=4.9208 c=4.9208 alpha=112.00 beta=90.00 gamma=90.00
Last column: nearest neighbours and their distance in Å.
Sites, in units of the cell vectors:
Cd 0.0000 0.0000 0.5000  2 Cd 2.75
Cd 0.0000 0.5000 0.0000  2 Cd 2.75
Al 0.5000 0.5000 0.5000  2 Se 2.75
Se 0.5000 0.0000 0.0000  2 Al 2.75

Values from the calculation:
* magnetic moment: 0.0 Bohr magnetons per cell
* E_form (uncorrected): 17 meV/atom
* space-group type: Cmmm

---

[17]
The following is a DFT calculation (meta-GGA SCAN) of a PBEsol-optimized structure of MgTiMo3.

Unit cell a=4.5546 b=4.5546 c=4.5546 alpha=90.00 beta=90.00 gamma=90.00
Last column: nearest neighbours and their distance in Å.
Sites, in units of the cell vectors:
Mg 0.5000 0.5000 0.5000  12 Mo 3.22
Ti 0.0000 0.0000 0.0000  6 Mo 2.28
Mo 0.0000 0.5000 0.0000  2 Ti 2.28
Mo 0.5000 0.0000 0.0000  2 Ti 2.28
Mo 0.0000 0.0000 0.5000  2 Ti 2.28

Values from the calculation:
* magnetic moment: 0.0 Bohr magnetons per cell
* DFT formation energy: 31.46 kcal/mol of atoms
* space-group type: Pm-3m

---

[18]
The following is a DFT calculation (meta-GGA SCAN) of a PBEsol-optimized structure of DySeClO3.

Unit cell a=6.9247 b=7.1278 c=8.7752 alpha=90.00 beta=90.00 gamma=90.00
Last column: nearest neighbours and their distance in Å.
Sites, in units of the cell vectors:
O 0.2500 0.7507 0.8212  1 Se 1.69
O 0.7500 0.2493 0.1788  1 Se 1.69
O 0.2500 0.2507 0.6788  1 Se 1.69
O 0.9282 0.6440 0.0660  1 Se 1.74
O 0.5718 0.1440 0.4340  1 Se 1.74
O 0.4282 0.3560 0.9340  1 Se 1.74
O 0.9282 0.1440 0.4340  1 Se 1.74
O 0.0718 0.3560 0.9340  1 Se 1.74
O 0.4282 0.8560 0.5660  1 Se 1.74
O 0.5718 0.6440 0.0660  1 Se 1.74
O 0.0718 0.8560 0.5660  1 Se 1.74
O 0.7500 0.7493 0.3212  1 Se 1.69
Dy 0.2500 0.6028 0.0400  5 O 2.19-2.34
Dy 0.7500 0.8972 0.5400  5 O 2.19-2.34
Dy 0.7500 0.3972 0.9600  5 O 2.19-2.34
Dy 0.2500 0.1028 0.4600  5 O 2.19-2.34
Cl 0.2500 0.9443 0.1797  2 Dy 2.71-2.73
Cl 0.2500 0.4443 0.3203  2 Dy 2.71-2.73
Cl 0.7500 0.0557 0.8203  2 Dy 2.71-2.73
Cl 0.7500 0.5557 0.6797  2 Dy 2.71-2.73
Se 0.7500 0.7962 0.1324  3 O 1.69-1.74
Se 0.7500 0.2962 0.3676  3 O 1.69-1.74
Se 0.2500 0.7038 0.6324  3 O 1.69-1.74
Se 0.2500 0.2038 0.8676  3 O 1.69-1.74

Values from the calculation:
* magnetic moment: 0.0 Bohr magnetons per cell
* E_form (uncorrected): -2244 meV/atom
* space-group type: Pnma

---

[19]
The following is a DFT calculation (meta-GGA SCAN) of a PBEsol-optimized structure of Nb3ZnCd.

Unit cell a=4.9289 b=4.9289 c=4.9289 alpha=90.00 beta=90.00 gamma=90.00
Last column: nearest neighbours and their distance in Å.
Sites, in units of the cell vectors:
Nb 0.5000 0.0000 0.0000  2 Cd 2.46
Nb 0.0000 0.0000 0.5000  2 Cd 2.46
Nb 0.0000 0.5000 0.0000  2 Cd 2.46
Zn 0.5000 0.5000 0.5000  12 Nb 3.49
Cd 0.0000 0.0000 0.0000  6 Nb 2.46

Values from the calculation:
* magnetic moment: 1.2 Bohr magnetons per cell
* DFT formation energy: 45.81 kcal/mol of atoms
* space-group type: Pm-3m

---

[20]
The following is a DFT calculation (meta-GGA SCAN) of a PBEsol-optimized structure of Re2TeAs.

Unit cell a=4.5835 b=4.5835 c=4.5835 alpha=60.00 beta=60.00 gamma=60.00
Last column: nearest neighbours and their distance in Å.
Sites, in units of the cell vectors:
As 0.5000 0.5000 0.5000  4 Re 2.81, 4 Te 2.81
Te 0.2500 0.2500 0.2500  4 Re 2.81, 4 As 2.81
Re 0.7500 0.7500 0.7500  4 As 2.81, 4 Re 2.81
Re 0.0000 0.0000 0.0000  4 Te 2.81, 4 Re 2.81

Values from the calculation:
* magnetic moment: 0.0 Bohr magnetons per cell
* E_form (uncorrected): 1193 meV/atom
* space-group type: F-43m